! PBE-GGA SrOsRu2, optimized geometry; values from VASP
&SYSTEM
  ibrav = 0, nat = 4, ntyp = 3
/
ATOMIC_SPECIES
Os 190.23 Os.upf
Ru 101.07 Ru.upf
Sr 87.62 Sr.upf
ATOMIC_POSITIONS angstrom
Os 2.776 -1.454 -1.449
Ru 0.000 0.000 0.000
Ru 0.174 -1.523 -2.458
Sr 1.138 -2.443 0.727
CELL_PARAMETERS angstrom
-1.464 -2.512 -0.283
1.812 -0.534 -4.634
3.740 -2.374 1.736
! Total magnetic moment = 0.85 μB/f.u.
! Relative energy among the computed polymorphs = 517 meV/atom
! Space group = No. 47
! VASP energy = -6.809 eV/atom
! Energy of formation = 1.057 eV per atom

---

! PBE-GGA Ti2GaNi, optimized geometry; values from VASP
&SYSTEM
  ibrav = 0, nat = 4, ntyp = 3
/
ATOMIC_SPECIES
Ni 58.69 Ni.upf
Ga 69.72 Ga.upf
Ti 47.87 Ti.upf
ATOMIC_POSITIONS angstrom
Ni -0.412 0.464 1.903
Ga 1.362 3.636 1.513
Ti 2.729 4.879 -0.599
Ti 0.819 1.465 -0.180
CELL_PARAMETERS angstrom
-2.113 1.344 1.320
1.288 -0.415 2.486
3.548 6.344 -0.779
! Total magnetic moment = 0.00 μB/f.u.
! Space group = No. 123
! VASP energy = -6.551 eV/atom
! Energy of formation = -0.401 eV per atom

---

! PBE-GGA SnIrS, optimized geometry; values from VASP
&SYSTEM
  ibrav = 0, nat = 3, ntyp = 3
/
ATOMIC_SPECIES
S 32.06 S.upf
Ir 192.22 Ir.upf
Sn 118.71 Sn.upf
ATOMIC_POSITIONS angstrom
S 0.000 0.000 1.293
Ir 1.701 0.982 0.192
Sn 0.000 1.964 4.661
CELL_PARAMETERS angstrom
3.401 0.000 0.000
-1.701 2.946 0.000
0.000 0.000 6.776
! Total magnetic moment = 0.00 μB/f.u.
! Space group = No. 156
! VASP energy = -5.737 eV/atom

---

! PBE-GGA Ba2MgZn4Ag3, optimized geometry; values from VASP
&SYSTEM
  ibrav = 0, nat = 10, ntyp = 4
/
ATOMIC_SPECIES
Ba 137.33 Ba.upf
Mg 24.30 Mg.upf
Zn 65.41 Zn.upf
Ag 107.87 Ag.upf
ATOMIC_POSITIONS angstrom
Ba 2.313 0.000 2.757
Ba 0.000 2.313 8.715
Mg 2.313 2.313 5.736
Zn 2.313 2.313 0.000
Zn 0.000 0.000 0.000
Zn 2.313 0.000 7.317
Zn 0.000 2.313 4.155
Ag 0.000 0.000 5.736
Ag 2.313 0.000 10.065
Ag 0.000 2.313 1.407
CELL_PARAMETERS angstrom
4.625 0.000 0.000
0.000 4.625 0.000
0.000 0.000 11.472
! Total magnetic moment = 0.00 μB/f.u.
! Space group = No. 115
! VASP energy = -2.094 eV/atom
! Energy of formation = -0.185 eV per atom

---

! PBE-GGA SrPuGe, optimized geometry; values from VASP
&SYSTEM
  ibrav = 0, nat = 6, ntyp = 3
/
ATOMIC_SPECIES
Sr 87.62 Sr.upf
Pu 244.00 Pu.upf
Ge 72.64 Ge.upf
ATOMIC_POSITIONS angstrom
Sr 4.322 1.442 6.068
Sr -0.582 -1.277 2.156
Pu 2.329 -1.391 4.561
Pu 1.412 1.556 3.663
Ge 2.622 -0.432 1.656
Ge 1.119 0.597 6.568
CELL_PARAMETERS angstrom
-1.969 -3.442 2.221
3.804 -2.450 -0.425
2.823 3.111 7.326
! Total magnetic moment = 6.01 μB/f.u.
! Space group = No. 129
! VASP energy = -7.308 eV/atom
! Energy of formation = -0.431 eV per atom

---

! PBE-GGA ScOs, optimized geometry; values from VASP
&SYSTEM
  ibrav = 0, nat = 6, ntyp = 2
/
ATOMIC_SPECIES
Sc 44.96 Sc.upf
Os 190.23 Os.upf
ATOMIC_POSITIONS angstrom
Sc 0.000 1.663 3.427
Sc 0.000 4.397 2.528
Sc 0.000 7.177 0.897
Os 0.000 12.323 7.837
Os 0.000 5.657 5.676
Os 0.000 8.645 5.505
CELL_PARAMETERS angstrom
1.488 5.116 0.476
-1.488 5.116 0.476
0.000 2.356 7.217
! Total magnetic moment = 0.00 μB/f.u.
! Space group = No. 8
! VASP energy = -8.850 eV/atom
! Energy of formation = -0.070 eV per atom

---

! PBE-GGA Ba2PuBi4Pd3, optimized geometry; values from VASP
&SYSTEM
  ibrav = 0, nat = 10, ntyp = 4
/
ATOMIC_SPECIES
Ba 137.33 Ba.upf
Pu 244.00 Pu.upf
Bi 208.98 Bi.upf
Pd 106.42 Pd.upf
ATOMIC_POSITIONS angstrom
Ba -3.707 0.906 -0.234
Ba -8.222 -0.921 5.438
Pu -6.921 -0.951 1.536
Bi -1.914 -1.887 -2.131
Bi 0.000 0.000 0.000
Bi -7.906 1.691 2.841
Bi -4.023 -1.706 2.363
Pd -5.008 0.936 3.668
Pd -10.166 2.114 4.497
Pd -1.763 -2.129 0.707
CELL_PARAMETERS angstrom
-2.699 0.931 -3.922
-1.129 -4.706 -0.340
-10.015 1.872 7.335
! Total magnetic moment = 5.27 μB/f.u.
! Space group = No. 115
! VASP energy = -5.490 eV/atom
! Energy of formation = -0.562 eV per atom

---

! PBE-GGA La3Nd2Er, optimized geometry; values from VASP
&SYSTEM
  ibrav = 0, nat = 12, ntyp = 3
/
ATOMIC_SPECIES
La 138.91 La.upf
Nd 144.24 Nd.upf
Er 167.26 Er.upf
ATOMIC_POSITIONS angstrom
La 0.000 0.000 0.000
La 1.739 3.435 9.040
La 1.739 5.078 14.817
La 1.739 1.792 3.263
La 0.000 1.643 12.302
La 0.000 5.226 5.777
Nd 1.739 5.271 2.711
Nd 0.000 1.837 6.329
Nd 0.000 5.033 11.751
Nd 1.739 1.598 15.368
Er 0.000 0.000 9.040
Er 1.739 3.435 0.000
CELL_PARAMETERS angstrom
3.477 0.000 0.000
0.000 6.870 0.000
0.000 0.000 18.079
! Total magnetic moment = 0.00 μB/f.u.
! Relative energy among the computed polymorphs = 204 meV/atom
! Space group = No. 58
! VASP energy = -4.585 eV/atom
! Energy of formation = 0.228 eV per atom

---

! PBE-GGA SrPtBr2, optimized geometry; values from VASP
&SYSTEM
  ibrav = 0, nat = 4, ntyp = 3
/
ATOMIC_SPECIES
Sr 87.62 Sr.upf
Br 79.90 Br.upf
Pt 195.08 Pt.upf
ATOMIC_POSITIONS angstrom
Sr -0.877 -1.211 2.600
Br -7.051 -1.682 3.085
Br -4.021 -0.959 1.759
Pt -1.951 2.149 1.978
CELL_PARAMETERS angstrom
-4.764 2.479 0.992
-2.617 -4.240 2.237
4.553 2.699 1.348
! Total magnetic moment = 0.00 μB/f.u.
! Relative energy among the computed polymorphs = 348 meV/atom
! Space group = No. 71
! VASP energy = -3.562 eV/atom

---

! PBE-GGA K5Ba3I12, optimized geometry; values from VASP
&SYSTEM
  ibrav = 0, nat = 80, ntyp = 3
/
ATOMIC_SPECIES
Ba 137.33 Ba.upf
K 39.10 K.upf
I 126.90 I.upf
ATOMIC_POSITIONS angstrom
Ba 0.229 -10.593 4.980
Ba -0.733 -15.478 1.188
Ba 7.886 -6.310 -5.921
Ba 5.394 -0.975 1.609
Ba 2.596 -8.601 10.420
Ba 2.171 -8.002 -4.014
Ba 10.360 -4.468 3.127
Ba 9.935 -3.869 -11.307
Ba 7.137 -11.494 -2.496
Ba 4.645 -6.159 5.034
Ba 13.264 3.008 -2.075
Ba 12.302 -1.876 -5.867
K 3.026 -2.968 -3.830
K -1.068 -4.735 -7.401
K 0.000 0.000 0.000
K 0.978 -5.409 1.556
K 7.334 -1.500 6.957
K -1.711 -10.068 -0.367
K 4.219 -5.560 -9.400
K 12.728 -2.476 8.566
K 3.683 -11.044 1.242
K 11.216 0.566 3.311
K 1.315 -13.036 -4.198
K 6.266 -6.235 -0.444
K -0.643 -5.334 7.033
K 7.977 3.834 -0.076
K 8.848 -1.426 -2.129
K -0.197 -9.994 -9.454
K 6.908 -0.901 -7.477
K 8.312 -6.910 8.513
K 11.553 -7.061 -2.443
K 9.505 -9.502 2.943
I -0.300 -8.640 8.241
I 5.110 -5.553 -3.716
I 2.314 -11.418 7.829
I 0.973 -7.089 4.422
I 8.398 -8.096 -2.564
I 0.299 -14.203 4.657
I 4.417 -7.669 -6.840
I 0.145 -8.371 -12.332
I 7.967 -9.935 -5.903
I 0.538 -12.094 1.462
I 3.861 -9.607 4.232
I -2.102 -17.111 -2.003
I 7.171 -4.095 -8.972
I 0.126 -7.148 -1.145
I 3.705 -6.941 -12.378
I 8.414 -1.195 3.603
I 3.188 -0.862 -1.265
I -0.752 -10.474 -3.747
I 1.299 -15.348 -1.811
I 0.208 -4.706 -4.102
I 9.798 -6.891 -8.946
I 4.379 -9.085 -1.351
I 5.954 -13.389 0.624
I 12.770 -4.365 5.834
I 8.152 -3.384 0.463
I 6.577 0.919 -1.511
I -0.239 -8.105 -6.721
I 11.232 2.878 0.924
I 2.733 -5.579 8.059
I 12.323 -7.764 3.215
I 13.283 -1.996 2.860
I 4.117 -11.275 -4.490
I 9.343 -11.608 0.378
I 8.826 -5.529 11.491
I 5.360 -8.374 8.085
I 14.634 4.641 1.116
I 12.405 -5.322 0.258
I 4.564 -2.535 5.016
I 11.993 -0.376 -2.349
I 8.670 -2.863 -5.120
I 12.386 -4.099 11.445
I 8.114 -4.800 5.953
I 11.559 -5.380 -5.309
I 12.232 1.734 -5.544
I 4.133 -4.373 1.676
I 10.217 -1.052 -8.716
I 7.421 -6.917 2.829
I 12.832 -3.829 -9.128
CELL_PARAMETERS angstrom
-1.285 -10.668 14.066
-2.137 -9.469 -14.801
15.953 7.667 -0.152
! Total magnetic moment = 1.22 μB/f.u.
! Space group = No. 230
! VASP energy = -2.915 eV/atom

---

! PBE-GGA NbCoSb, optimized geometry; values from VASP
&SYSTEM
  ibrav = 0, nat = 3, ntyp = 3
/
ATOMIC_SPECIES
Sb 121.76 Sb.upf
Nb 92.91 Nb.upf
Co 58.93 Co.upf
ATOMIC_POSITIONS angstrom
Sb 4.231 2.443 1.727
Nb 0.000 0.000 0.000
Co 6.347 3.664 2.591
CELL_PARAMETERS angstrom
4.231 0.000 0.000
2.116 3.664 0.000
2.116 1.221 3.455
! Total magnetic moment = 0.57 μB/f.u.
! Space group = No. 216
! VASP energy = -7.320 eV/atom

---

! PBE-GGA CuIr, optimized geometry; values from VASP
&SYSTEM
  ibrav = 0, nat = 4, ntyp = 2
/
ATOMIC_SPECIES
Cu 63.55 Cu.upf
Ir 192.22 Ir.upf
ATOMIC_POSITIONS angstrom
Cu 0.000 2.274 1.219
Cu 1.969 1.137 3.658
Ir 0.000 0.000 0.000
Ir 0.000 0.000 2.439
CELL_PARAMETERS angstrom
3.938 0.000 0.000
-1.969 3.411 0.000
0.000 0.000 4.877
! Total magnetic moment = 0.00 μB/f.u.
! Space group = No. 194
! VASP energy = -5.697 eV/atom
! Energy of formation = 0.781 eV per atom

---

Question: The highest total magnetic moment belongs to which entry?
Answer: SrPuGe

---

Question: total magnetic moment of number 6 (ScOs)?
Answer: 0.00 μB/f.u.